Entry 1:
Ca5Hg | PBE-GGA | relaxed

**E_form**: -51.0 kJ/mol of formula units
**Calculated volume**: 35.91 A^3/atom

Unit cell a=6.4557 b=6.4557 c=5.9688 alpha=90.00 beta=90.00 gamma=120.00
Last column: nearest neighbours and their distance in Å.
Space group P-62m (No. 189)
Symmetry-distinct sites (fractional):
Ca  0.0000  0.6848  0.0000 (multiplicity 3)  10 Ca 3.52-3.83, 2 Hg 3.61
Ca  0.3333  0.6667  0.5000 (multiplicity 2)  9 Ca 3.72-3.73, 3 Hg 3.73
Hg  0.0000  0.0000  0.5000 (multiplicity 1)  12 Ca 3.61-3.73


Entry 2:
Ca13Hg2 | PBE-GGA | relaxed

**E_form**: -188.3 kJ/mol of formula units
**Calculated volume**: 38.44 A^3/atom

Unit cell a=7.2834 b=8.8632 c=10.0912 alpha=64.48 beta=88.10 gamma=79.18
Last column: nearest neighbours and their distance in Å.
Space group P-1 (No. 2)
Symmetry-distinct sites (fractional):
Ca  0.0000  0.0000  0.0000 (multiplicity 1)  2 Hg 3.28
Ca  0.0391  0.5469  0.6556 (multiplicity 2)  2 Hg 3.20-3.28
Ca  0.1798  0.0159  0.6422 (multiplicity 2)  1 Hg 3.28
Ca  0.2369  0.5909  0.9853 (multiplicity 2)  9 Ca 3.77-4.03, 1 Hg 4.13
Ca  0.2892  0.1114  0.2448 (multiplicity 2)  1 Hg 3.30
Ca  0.4431  0.2207  0.8588 (multiplicity 2)  1 Hg 3.17
Ca  0.4819  0.3458  0.4251 (multiplicity 2)  2 Hg 3.26-3.41
Hg  0.1938  0.7325  0.3264 (multiplicity 2)  8 Ca 3.17-3.41


Entry 3:
Ca5Hg | PBE-GGA | relaxed

**E_form**: 165.3 kJ/mol of formula units
**Calculated volume**: 45.68 A^3/atom

Unit cell a=6.9959 b=6.9959 c=6.4659 alpha=90.00 beta=90.00 gamma=120.00
Last column: nearest neighbours and their distance in Å.
Space group P6/mmm (No. 191)
Symmetry-distinct sites (fractional):
Ca  0.0000  0.5000  0.0000 (multiplicity 3)  8 Ca 3.50-3.81
Ca  0.3333  0.6667  0.5000 (multiplicity 2)  9 Ca 3.81-4.04, 3 Hg 4.04
Hg  0.0000  0.0000  0.5000 (multiplicity 1)  6 Ca 4.04


Entry 4:
CaHg7 | PBE-GGA | relaxed

**E_form**: -125.6 kJ/mol of formula units
**Calculated volume**: 26.54 A^3/atom

Unit cell a=9.4696 b=9.4696 c=9.4696 alpha=90.00 beta=90.00 gamma=90.00
Last column: nearest neighbours and their distance in Å.
Space group Fm-3m (No. 225)
Symmetry-distinct sites (fractional):
Ca  0.0000  0.0000  0.0000 (multiplicity 4)  12 Hg 3.35
Hg  0.0000  0.0000  0.5000 (multiplicity 4)  12 Hg 3.35
Hg  0.0000  0.2500  0.2500 (multiplicity 24)  10 Hg 3.35, 2 Ca 3.35


Entry 5:
Ca5Hg3 | PBE-GGA | relaxed

**E_form**: -337.0 kJ/mol of formula units
**Calculated volume**: 31.19 A^3/atom

Unit cell a=8.2251 b=8.2251 c=14.7545 alpha=90.00 beta=90.00 gamma=90.00
Last column: nearest neighbours and their distance in Å.
Space group I4/mcm (No. 140)
Symmetry-distinct sites (fractional):
Ca  0.0000  0.0000  0.0000 (multiplicity 4)  4 Hg 3.20
Ca  0.1641  0.3359  0.1480 (multiplicity 16)  5 Hg 3.20-3.42
Hg  0.0000  0.0000  0.2500 (multiplicity 4)  10 Ca 3.42-3.69
Hg  0.1348  0.3652  0.5000 (multiplicity 8)  1 Hg 3.14, 8 Ca 3.20-3.30


Entry 6:
Ca5Hg6 | PBE-GGA | relaxed

**E_form**: -460.3 kJ/mol of formula units
**Calculated volume**: 28.83 A^3/atom

Unit cell a=5.3461 b=7.3936 c=16.0468 alpha=90.00 beta=90.00 gamma=90.00
Last column: nearest neighbours and their distance in Å.
Space group Immm (No. 71)
Symmetry-distinct sites (fractional):
Ca  0.0000  0.0000  0.0000 (multiplicity 2)  8 Hg 3.24-3.29
Ca  0.0000  0.0000  0.3347 (multiplicity 4)  8 Hg 3.19-3.31
Ca  0.0000  0.5000  0.3329 (multiplicity 4)  8 Hg 3.25-3.30
Hg  0.0000  0.2407  0.5000 (multiplicity 4)  6 Ca 3.19-3.30, 1 Hg 3.56
Hg  0.0000  0.2543  0.1648 (multiplicity 8)  7 Ca 3.23-3.31


Entry 7:
Ca3Hg5 | PBE-GGA | relaxed

**E_form**: -349.6 kJ/mol of formula units
**Calculated volume**: 26.67 A^3/atom

Unit cell a=7.8918 b=10.3782 c=5.2095 alpha=90.00 beta=90.00 gamma=90.00
Last column: nearest neighbours and their distance in Å.
Space group Cmmm (No. 65)
Symmetry-distinct sites (fractional):
Ca  0.0000  0.0000  0.0000 (multiplicity 2)  8 Hg 3.11-3.26
Ca  0.0000  0.2843  0.5000 (multiplicity 4)  10 Hg 3.18-3.43
Hg  0.0000  0.5000  0.0000 (multiplicity 2)  8 Hg 3.26-3.44, 4 Ca 3.43
Hg  0.2146  0.0000  0.5000 (multiplicity 4)  6 Ca 3.11-3.40, 3 Hg 3.39-3.44
Hg  0.2500  0.2500  0.0000 (multiplicity 4)  2 Hg 3.26, 6 Ca 3.26-3.29


Entry 8:
Ca5Hg3 | PBE-GGA | relaxed

**E_form**: -328.2 kJ/mol of formula units
**Calculated volume**: 31.44 A^3/atom

Unit cell a=9.3545 b=9.3545 c=6.6372 alpha=90.00 beta=90.00 gamma=120.00
Last column: nearest neighbours and their distance in Å.
Space group P6_3/mcm (No. 193)
Symmetry-distinct sites (fractional):
Ca  0.0000  0.2577  0.2500 (multiplicity 6)  5 Hg 3.22-3.54
Ca  0.3333  0.6667  0.0000 (multiplicity 4)  2 Ca 3.32, 6 Hg 3.33
Hg  0.0000  0.3904  0.7500 (multiplicity 6)  9 Ca 3.22-3.54


Entry 9:
Ca5Hg2 | PBE-GGA | relaxed

**E_form**: -213.7 kJ/mol of formula units
**Calculated volume**: 32.38 A^3/atom

Unit cell a=7.9611 b=16.2125 c=7.0242 alpha=90.00 beta=90.00 gamma=90.00
Last column: nearest neighbours and their distance in Å.
Space group Ibam (No. 72)
Symmetry-distinct sites (fractional):
Ca  0.0000  0.0000  0.2500 (multiplicity 4)  4 Hg 3.34, 8 Ca 3.51-3.70
Ca  0.0000  0.2281  0.2500 (multiplicity 8)  4 Hg 3.21-3.58, 2 Ca 3.51
Ca  0.1455  0.4160  0.0000 (multiplicity 8)  2 Hg 3.14-3.41
Hg  0.2417  0.3791  0.5000 (multiplicity 8)  6 Ca 3.14-3.41


Entry 10:
Ca5Hg | PBE-GGA | relaxed

**E_form**: -108.0 kJ/mol of formula units
**Calculated volume**: 37.16 A^3/atom

Unit cell a=3.8352 b=3.8352 c=15.1589 alpha=90.00 beta=90.00 gamma=90.00
Last column: nearest neighbours and their distance in Å.
Space group P4/mmm (No. 123)
Symmetry-distinct sites (fractional):
Ca  0.0000  0.0000  0.0000 (multiplicity 1)  12 Ca 3.84-3.94
Ca  0.0000  0.0000  0.3796 (multiplicity 2)  4 Hg 3.27, 1 Ca 3.65
Ca  0.5000  0.5000  0.1885 (multiplicity 2)  12 Ca 3.84-3.97
Hg  0.5000  0.5000  0.5000 (multiplicity 1)  8 Ca 3.27


Entry 11:
Ca3Hg2 | PBE-GGA | relaxed

**E_form**: -226.9 kJ/mol of formula units
**Calculated volume**: 30.73 A^3/atom

Unit cell a=8.5286 b=8.5286 c=4.2243 alpha=90.00 beta=90.00 gamma=90.00
Last column: nearest neighbours and their distance in Å.
Space group P4/mbm (No. 127)
Symmetry-distinct sites (fractional):
Ca  0.0000  0.0000  0.0000 (multiplicity 2)  4 Hg 3.29
Ca  0.1567  0.3433  0.5000 (multiplicity 4)  6 Hg 3.23-3.30
Hg  0.1403  0.6403  0.0000 (multiplicity 4)  8 Ca 3.23-3.30, 1 Hg 3.39


Entry 12:
Ca3Hg | PBE-GGA | relaxed

**E_form**: -109.4 kJ/mol of formula units
**Calculated volume**: 34.71 A^3/atom

Unit cell a=3.8235 b=3.8235 c=9.4972 alpha=90.00 beta=90.00 gamma=90.00
Last column: nearest neighbours and their distance in Å.
Space group P4/mmm (No. 123)
Symmetry-distinct sites (fractional):
Ca  0.0000  0.0000  0.0000 (multiplicity 1)  12 Ca 3.82-3.98
Ca  0.5000  0.5000  0.3069 (multiplicity 2)  4 Hg 3.27
Hg  0.0000  0.0000  0.5000 (multiplicity 1)  8 Ca 3.27


Entry 13:
Ca3Hg8 | PBE-GGA | relaxed

**E_form**: -402.9 kJ/mol of formula units
**Calculated volume**: 25.78 A^3/atom

Unit cell a=10.0830 b=4.5430 c=12.8502 alpha=90.00 beta=105.51 gamma=90.00
Last column: nearest neighbours and their distance in Å.
Space group C2/m (No. 12)
Symmetry-distinct sites (fractional):
Ca  0.0000  0.0000  0.0000 (multiplicity 2)  12 Hg 3.23-3.40
Ca  0.1001  0.0000  0.6489 (multiplicity 4)  11 Hg 3.19-3.36
Hg  0.0495  0.5000  0.8208 (multiplicity 4)  7 Hg 3.16-3.45, 4 Ca 3.30-3.36
Hg  0.1397  0.5000  0.4668 (multiplicity 4)  6 Hg 3.13-3.50, 5 Ca 3.34-3.36
Hg  0.1704  0.0000  0.2673 (multiplicity 4)  8 Hg 3.16-3.50, 4 Ca 3.19-3.40
Hg  0.2290  0.5000  0.0902 (multiplicity 4)  8 Hg 3.18-3.45, 4 Ca 3.23-3.33


Entry 14:
Ca5Hg | PBE-GGA | relaxed

**E_form**: -96.0 kJ/mol of formula units
**Calculated volume**: 36.99 A^3/atom

Unit cell a=13.2292 b=4.0203 c=8.8920 alpha=90.00 beta=110.19 gamma=90.00
Last column: nearest neighbours and their distance in Å.
Space group Cm (No. 8)
Symmetry-distinct sites (fractional):
Ca  0.0000  0.0000  0.0000 (multiplicity 2)  2 Hg 3.44, 2 Ca 3.69-3.77
Ca  0.0342  0.0000  0.4302 (multiplicity 2)  2 Hg 3.18
Ca  0.1686  0.5000  0.7952 (multiplicity 2)  12 Ca 3.71-4.13
Ca  0.3034  0.0000  0.1599 (multiplicity 2)  2 Hg 3.18
Ca  0.3371  0.0000  0.5897 (multiplicity 2)  2 Hg 3.45, 2 Ca 3.69-3.76
Hg  0.1683  0.5000  0.2942 (multiplicity 2)  8 Ca 3.18-3.45


Entry 15:
Ca8Hg | PBE-GGA | relaxed

**E_form**: -67.5 kJ/mol of formula units
**Calculated volume**: 37.95 A^3/atom

Unit cell a=12.6818 b=12.6818 c=4.2473 alpha=90.00 beta=90.00 gamma=90.00
Last column: nearest neighbours and their distance in Å.
Space group I4/mmm (No. 139)
Symmetry-distinct sites (fractional):
Ca  0.0000  0.3343  0.0000 (multiplicity 8)  8 Ca 3.65-3.69
Ca  0.1499  0.1499  0.5000 (multiplicity 8)  2 Hg 3.43, 6 Ca 3.69-3.80
Hg  0.0000  0.0000  0.0000 (multiplicity 2)  8 Ca 3.43


Entry 16:
Ca5Hg4 | PBE-GGA | relaxed

**E_form**: -252.0 kJ/mol of formula units
**Calculated volume**: 28.91 A^3/atom

Unit cell a=9.9633 b=9.9633 c=5.2424 alpha=90.00 beta=90.00 gamma=90.00
Last column: nearest neighbours and their distance in Å.
Space group I4/mmm (No. 139)
Symmetry-distinct sites (fractional):
Ca  0.0000  0.0000  0.0000 (multiplicity 2)  4 Hg 3.25, 8 Ca 3.61
Ca  0.1764  0.1764  0.5000 (multiplicity 8)  6 Hg 3.22-3.49, 4 Ca 3.34-3.51
Hg  0.0000  0.3266  0.0000 (multiplicity 8)  7 Ca 3.22-3.49, 5 Hg 3.46-3.58


Entry 17:
Ca3Hg | PBE-GGA | relaxed

**E_form**: -38.2 kJ/mol of formula units
**Calculated volume**: 34.37 A^3/atom

Unit cell a=11.2727 b=11.2727 c=3.7477 alpha=90.00 beta=90.00 gamma=120.00
Last column: nearest neighbours and their distance in Å.
Space group R-3m (No. 166, hexagonal axes)
Symmetry-distinct sites (fractional):
Ca  0.0000  0.5000  0.0000 (multiplicity 9)  6 Ca 3.49-3.75, 2 Hg 3.49
Hg  0.0000  0.0000  0.0000 (multiplicity 3)  6 Ca 3.49, 2 Hg 3.75


Entry 18:
Ca3Hg | PBE-GGA | relaxed

**E_form**: -116.7 kJ/mol of formula units
**Calculated volume**: 35.22 A^3/atom

Unit cell a=4.2712 b=13.2290 c=9.9738 alpha=90.00 beta=90.00 gamma=90.00
Last column: nearest neighbours and their distance in Å.
Space group Cmcm (No. 63)
Symmetry-distinct sites (fractional):
Ca  0.0000  0.0653  0.2500 (multiplicity 4)  2 Hg 3.22
Ca  0.0000  0.3583  0.0590 (multiplicity 8)  3 Hg 3.22-3.38
Hg  0.0000  0.2529  0.7500 (multiplicity 4)  8 Ca 3.22-3.38


Entry 19:
Ca2Hg7 | PBE-GGA | relaxed

**E_form**: -280.6 kJ/mol of formula units
**Calculated volume**: 25.31 A^3/atom

Unit cell a=5.2094 b=5.2094 c=9.6913 alpha=90.00 beta=90.00 gamma=120.00
Last column: nearest neighbours and their distance in Å.
Space group P-3m1 (No. 164)
Symmetry-distinct sites (fractional):
Ca  0.3333  0.6667  0.2696 (multiplicity 2)  11 Hg 3.19-3.56
Hg  0.0000  0.0000  0.1604 (multiplicity 2)  5 Hg 3.11-3.29, 3 Ca 3.19
Hg  0.0000  0.0000  0.5000 (multiplicity 1)  8 Hg 3.16-3.29
Hg  0.3333  0.6667  0.6007 (multiplicity 2)  4 Hg 3.16-3.17, 4 Ca 3.21-3.26
Hg  0.3333  0.6667  0.9275 (multiplicity 2)  7 Hg 3.13-3.32, 1 Ca 3.31


Entry 20:
Ca3Hg2 | PBE-GGA | relaxed

**E_form**: -167.9 kJ/mol of formula units
**Calculated volume**: 33.90 A^3/atom

Unit cell a=7.3166 b=7.3166 c=21.9361 alpha=90.00 beta=90.00 gamma=120.00
Last column: nearest neighbours and their distance in Å.
Space group R-3c (No. 167, hexagonal axes)
Symmetry-distinct sites (fractional):
Ca  0.0000  0.3798  0.2500 (multiplicity 18)  4 Hg 3.12-3.18
Hg  0.0000  0.0000  0.1800 (multiplicity 12)  1 Hg 3.07, 6 Ca 3.12-3.18


Entry 21:
Ca5Hg2 | PBE-GGA | relaxed

**E_form**: -231.2 kJ/mol of formula units
**Calculated volume**: 34.71 A^3/atom

Unit cell a=17.4324 b=6.9993 c=8.0357 alpha=90.00 beta=97.59 gamma=90.00
Last column: nearest neighbours and their distance in Å.
Space group C2/c (No. 15)
Symmetry-distinct sites (fractional):
Ca  0.0000  0.0874  0.2500 (multiplicity 4)  4 Hg 3.16-3.21
Ca  0.0906  0.3843  0.9251 (multiplicity 8)  2 Hg 3.12-3.15
Ca  0.2205  0.0869  0.3105 (multiplicity 8)  3 Hg 3.18-3.32
Hg  0.1099  0.2012  0.5791 (multiplicity 8)  7 Ca 3.12-3.32


Entry 22:
Ca2Hg13 | PBE-GGA | relaxed

**E_form**: -109.4 kJ/mol of formula units
**Calculated volume**: 32.48 A^3/atom

Unit cell a=8.7830 b=8.7830 c=21.8808 alpha=90.00 beta=90.00 gamma=120.00
Last column: nearest neighbours and their distance in Å.
Space group R-3m (No. 166, hexagonal axes)
Symmetry-distinct sites (fractional):
Ca  0.0000  0.0000  0.2461 (multiplicity 6)  6 Hg 3.16-3.34
Hg  0.0000  0.0000  0.0000 (multiplicity 3)  12 Hg 3.03-3.39
Hg  0.0783  0.5391  0.5604 (multiplicity 18)  4 Hg 2.90-3.18, 1 Ca 3.16
Hg  0.0960  0.5480  0.2923 (multiplicity 18)  6 Hg 3.13-3.49, 1 Ca 3.34


| no. | total magnetization (μB/cell) |
| --- | --- |
| 1 | 0.0 |
| 2 | 0.0 |
| 3 | 0.0 |
| 4 | 0.0 |
| 5 | 0.0 |
| 6 | 0.0 |
| 7 | 0.0 |
| 8 | 0.0 |
| 9 | 0.0 |
| 10 | 0.0 |
| 11 | 0.0 |
| 12 | 0.0 |
| 13 | 0.0 |
| 14 | 0.0 |
| 15 | 0.0 |
| 16 | 0.0 |
| 17 | 0.0 |
| 18 | 0.0 |
| 19 | 0.0 |
| 20 | 0.0 |
| 21 | 0.0 |
| 22 | 0.0 |